(1)
DFT (PBE) results for Tb2SmYTm5 after structural relaxation.

* volume: 31.7 Å³/atom
* space group: I4/mcm (140)
* energy of formation: 0.287 eV/atom
* total moment: 0.0 μB per formula unit

a b c (Å): 9.6472 9.6472 9.6472
angles (deg): 125.77 125.77 80.26
Fractional coordinates of all 18 atoms:
1 Tb 0.1137 0.6137 0.7275
2 Tb 0.3863 0.1137 0.5000
3 Tb 0.6137 0.8863 0.5000
4 Tb 0.8863 0.3863 0.2725
5 Sm 0.2500 0.2500 0.0000
6 Sm 0.7500 0.7500 0.0000
7 Y 0.2500 0.7500 0.5000
8 Y 0.7500 0.2500 0.5000
9 Tm 0.0000 0.0000 0.0000
10 Tm 0.0734 0.1594 0.5000
11 Tm 0.1594 0.6594 0.0860
12 Tm 0.3406 0.4266 0.5000
13 Tm 0.4266 0.9266 0.0860
14 Tm 0.5000 0.5000 0.0000
15 Tm 0.5734 0.0734 0.9140
16 Tm 0.6594 0.5734 0.5000
17 Tm 0.8406 0.3406 0.9140
18 Tm 0.9266 0.8406 0.5000

---

(2)
DFT (PBE) results for La2GeSe2 after structural relaxation.

* ΔE to the lowest computed polymorph: 0 meV per atom
* volume: 27.7 Å³/atom
* space group: P4/mbm (127)
* total moment: 0.0 μB per formula unit

a b c (Å): 8.3290 8.3290 3.9940
angles (deg): 90.00 90.00 90.00
Fractional coordinates of all 10 atoms:
1 La 0.1660 0.3340 0.0000
2 La 0.3340 0.8340 0.0000
3 La 0.6660 0.1660 0.0000
4 La 0.8340 0.6660 0.0000
5 Ge 0.0000 0.0000 0.0000
6 Ge 0.5000 0.5000 0.0000
7 Se 0.1398 0.6398 0.5000
8 Se 0.3602 0.1398 0.5000
9 Se 0.6398 0.8602 0.5000
10 Se 0.8602 0.3602 0.5000

---

(3)
DFT (PBE) results for NaNd2Y3Se6 after structural relaxation.

* energy: -0.4444 Ry/atom
* volume: 25.4 Å³/atom
* space group: C2/m (12)
* total moment: 0.0 μB per formula unit

a b c (Å): 9.3285 9.3285 8.3733
angles (deg): 103.45 103.45 25.57
Fractional coordinates of all 12 atoms:
1 Na 0.0000 0.0000 0.0000
2 Nd 0.3295 0.3295 0.6570
3 Nd 0.6705 0.6705 0.3430
4 Y 0.0000 0.0000 0.5000
5 Y 0.3338 0.3338 0.1724
6 Y 0.6662 0.6662 0.8276
7 Se 0.1616 0.1616 0.5912
8 Se 0.1682 0.1682 0.0751
9 Se 0.4986 0.4986 0.2548
10 Se 0.5014 0.5014 0.7452
11 Se 0.8318 0.8318 0.9249
12 Se 0.8384 0.8384 0.4088

---

(4)
DFT (PBE) results for PmNdY2S4 after structural relaxation.

* energy: -0.5060 Ry/atom
* volume: 22.4 Å³/atom
* space group: P2/m (10)
* total moment: 0.0 μB per formula unit

a b c (Å): 6.8732 3.9373 6.9904
angles (deg): 90.00 108.89 90.00
Fractional coordinates of all 8 atoms:
1 Pm 0.0000 0.0000 0.0000
2 Nd 0.5000 0.5000 0.0000
3 Y 0.0000 0.5000 0.5000
4 Y 0.5000 0.0000 0.5000
5 S 0.2439 0.0000 0.7363
6 S 0.2530 0.5000 0.2626
7 S 0.7470 0.5000 0.7373
8 S 0.7561 0.0000 0.2637